# Ba2PbF6 (PBE, optimized geometry)
# formation energy from raw total energies = -3.38 eV per atom
# ΔE to the lowest computed polymorph = 0.000 eV/f.u.
# E = -5.4705 eV/atom
# calculated volume = 354.4 Å³ per cell
data_Ba2PbF6
_symmetry_space_group_name_H-M 'I m m m'
_symmetry_Int_Tables_number 71
_symmetry_space_group_name_Hall '-I 2 2'
_cell_length_a 4.383
_cell_length_b 6.180
_cell_length_c 13.083
_cell_angle_alpha 90.00
_cell_angle_beta 90.00
_cell_angle_gamma 90.00
loop_
_atom_site_label
_atom_site_type_symbol
_atom_site_fract_x
_atom_site_fract_y
_atom_site_fract_z
Ba1 Ba 0.000 0.000 0.165
Pb1 Pb 0.000 0.000 0.500
F1 F 0.000 0.245 0.338
F2 F 0.000 0.262 0.000

# BaPbF (PBE, optimized geometry)
# formation energy from raw total energies = -2.07 eV per atom
# E = -4.5755 eV/atom
# calculated volume = 546.3 Å³ per cell
data_BaPbF
_symmetry_space_group_name_H-M 'R -3 m'
_symmetry_Int_Tables_number 166
_symmetry_space_group_name_Hall '-R 3 2"'
_cell_length_a 4.7065
_cell_length_b 4.7065
_cell_length_c 28.4769
_cell_angle_alpha 90.00
_cell_angle_beta 90.00
_cell_angle_gamma 120.00
loop_
_atom_site_label
_atom_site_type_symbol
_atom_site_fract_x
_atom_site_fract_y
_atom_site_fract_z
Ba1 Ba 0.0000 0.0000 0.1052
Pb1 Pb 0.0000 0.0000 0.3573
F1 F 0.0000 0.0000 0.1973

# BaPb3F8 (PBE, optimized geometry)
# formation energy from raw total energies = -2.77 eV per atom
# E = -5.1022 eV/atom
# calculated volume = 445.8 Å³ per cell
data_BaPb3F8
_symmetry_space_group_name_H-M 'I 4/m m m'
_symmetry_Int_Tables_number 139
_symmetry_space_group_name_Hall '-I 4 2'
_cell_length_a 6.065
_cell_length_b 6.065
_cell_length_c 12.118
_cell_angle_alpha 90.00
_cell_angle_beta 90.00
_cell_angle_gamma 90.00
loop_
_atom_site_label
_atom_site_type_symbol
_atom_site_fract_x
_atom_site_fract_y
_atom_site_fract_z
Ba1 Ba 0.000 0.000 0.000
Pb1 Pb 0.000 0.000 0.500
Pb2 Pb 0.000 0.500 0.250
F1 F 0.244 0.244 0.373

# Ba6Pb2F (PBE, optimized geometry)
# formation energy from raw total energies = -0.90 eV per atom
# E = -3.2159 eV/atom
# calculated volume = 818.8 Å³ per cell
data_Ba6Pb2F
_symmetry_space_group_name_H-M 'P 1 21/c 1'
_symmetry_Int_Tables_number 14
_cell_length_a 7.767
_cell_length_b 9.567
_cell_length_c 13.385
_cell_angle_alpha 90.00
_cell_angle_beta 124.58
_cell_angle_gamma 90.00
loop_
_symmetry_equiv_pos_as_xyz
'x,y,z'
'-x,-y,-z'
'-x,y+1/2,-z+1/2'
'x,-y+1/2,z+1/2'
loop_
_atom_site_label
_atom_site_type_symbol
_atom_site_fract_x
_atom_site_fract_y
_atom_site_fract_z
Ba1 Ba 0.108 0.174 0.442
Ba2 Ba 0.276 0.672 0.438
Ba3 Ba 0.374 0.032 0.264
Pb1 Pb 0.195 0.116 0.747
F1 F 0.500 0.000 0.500

# Ba4Pb2F (PBE, optimized geometry)
# formation energy from raw total energies = -1.19 eV per atom
# ΔE to the lowest computed polymorph = 0.000 eV/f.u.
# E = -3.6144 eV/atom
# calculated volume = 566.1 Å³ per cell
data_Ba4Pb2F
_symmetry_space_group_name_H-M 'I 4/m m m'
_symmetry_Int_Tables_number 139
_symmetry_space_group_name_Hall '-I 4 2'
_cell_length_a 5.428
_cell_length_b 5.428
_cell_length_c 19.216
_cell_angle_alpha 90.00
_cell_angle_beta 90.00
_cell_angle_gamma 90.00
loop_
_atom_site_label
_atom_site_type_symbol
_atom_site_fract_x
_atom_site_fract_y
_atom_site_fract_z
Ba1 Ba 0.000 0.000 0.183
Ba2 Ba 0.000 0.500 0.000
Pb1 Pb 0.000 0.000 0.369
F1 F 0.000 0.000 0.000

# Ba3PbF (PBE, optimized geometry)
# formation energy from raw total energies = -1.32 eV per atom
# ΔE to the lowest computed polymorph = 0.045 eV/f.u.
# E = -3.5918 eV/atom
# calculated volume = 374.5 Å³ per cell
data_Ba3PbF
_symmetry_space_group_name_H-M 'P 1 21/m 1'
_symmetry_Int_Tables_number 11
_cell_length_a 6.423
_cell_length_b 7.789
_cell_length_c 7.497
_cell_angle_alpha 90.00
_cell_angle_beta 93.28
_cell_angle_gamma 90.00
loop_
_symmetry_equiv_pos_as_xyz
'x,y,z'
'-x,-y,-z'
'-x,y+1/2,-z'
'x,-y+1/2,z'
loop_
_atom_site_label
_atom_site_type_symbol
_atom_site_fract_x
_atom_site_fract_y
_atom_site_fract_z
Ba1 Ba 0.235 0.250 0.108
Ba2 Ba 0.252 0.005 0.640
Pb1 Pb 0.270 0.750 0.164
F1 F 0.043 0.250 0.411

# BaPb2F2 (PBE, optimized geometry)
# formation energy from raw total energies = -1.32 eV per atom
# ΔE to the lowest computed polymorph = 0.000 eV/f.u.
# E = -3.9381 eV/atom
# calculated volume = 271.7 Å³ per cell
data_BaPb2F2
_symmetry_space_group_name_H-M 'I 4/m m m'
_symmetry_Int_Tables_number 139
_symmetry_space_group_name_Hall '-I 4 2'
_cell_length_a 5.185
_cell_length_b 5.185
_cell_length_c 10.108
_cell_angle_alpha 90.00
_cell_angle_beta 90.00
_cell_angle_gamma 90.00
loop_
_atom_site_label
_atom_site_type_symbol
_atom_site_fract_x
_atom_site_fract_y
_atom_site_fract_z
Ba1 Ba 0.000 0.000 0.000
Pb1 Pb 0.000 0.000 0.343
F1 F 0.000 0.500 0.250

# BaPb2F2 (PBE, optimized geometry)
# formation energy from raw total energies = -1.16 eV per atom
# ΔE to the lowest computed polymorph = 0.791 eV/f.u.
# E = -3.7799 eV/atom
# calculated volume = 364.1 Å³ per cell
data_BaPb2F2
_symmetry_space_group_name_H-M 'P 4/m b m'
_symmetry_Int_Tables_number 127
_symmetry_space_group_name_Hall '-P 4 2ab'
_cell_length_a 8.696
_cell_length_b 8.696
_cell_length_c 4.815
_cell_angle_alpha 90.00
_cell_angle_beta 90.00
_cell_angle_gamma 90.00
loop_
_atom_site_label
_atom_site_type_symbol
_atom_site_fract_x
_atom_site_fract_y
_atom_site_fract_z
Ba1 Ba 0.000 0.000 0.000
Pb1 Pb 0.122 0.378 0.000
F1 F 0.164 0.336 0.500

# Ba2PbF6 (PBE, optimized geometry)
# formation energy from raw total energies = -3.30 eV per atom
# ΔE to the lowest computed polymorph = 0.774 eV/f.u.
# E = -5.3845 eV/atom
# calculated volume = 375.6 Å³ per cell
data_Ba2PbF6
_symmetry_space_group_name_H-M 'P 1 21/c 1'
_symmetry_Int_Tables_number 14
_cell_length_a 7.159
_cell_length_b 7.758
_cell_length_c 8.107
_cell_angle_alpha 90.00
_cell_angle_beta 123.48
_cell_angle_gamma 90.00
loop_
_symmetry_equiv_pos_as_xyz
'x,y,z'
'-x,-y,-z'
'-x,y+1/2,-z+1/2'
'x,-y+1/2,z+1/2'
loop_
_atom_site_label
_atom_site_type_symbol
_atom_site_fract_x
_atom_site_fract_y
_atom_site_fract_z
Ba1 Ba 0.154 0.094 0.327
Pb1 Pb 0.500 0.000 0.000
F1 F 0.174 0.089 0.005
F2 F 0.180 0.082 0.671
F3 F 0.399 0.689 0.951

# BaPb2F11 (PBE, optimized geometry)
# formation energy from raw total energies = -2.18 eV per atom
# E = -4.3131 eV/atom
# calculated volume = 1118.3 Å³ per cell
data_BaPb2F11
_symmetry_space_group_name_H-M 'I b a m'
_symmetry_Int_Tables_number 72
_symmetry_space_group_name_Hall '-I 2 2c'
_cell_length_a 8.415
_cell_length_b 10.889
_cell_length_c 12.204
_cell_angle_alpha 90.00
_cell_angle_beta 90.00
_cell_angle_gamma 90.00
loop_
_atom_site_label
_atom_site_type_symbol
_atom_site_fract_x
_atom_site_fract_y
_atom_site_fract_z
Ba1 Ba 0.000 0.000 0.250
Pb1 Pb 0.170 0.298 0.000
F1 F 0.000 0.500 0.000
F2 F 0.094 0.313 0.500
F3 F 0.117 0.175 0.124
F4 F 0.233 0.092 0.380

# Ba12Pb3F5 (PBE, optimized geometry)
# formation energy from raw total energies = -1.55 eV per atom
# E = -3.7284 eV/atom
# calculated volume = 6358.3 Å³ per cell
data_Ba12Pb3F5
_symmetry_space_group_name_H-M 'I a -3 d'
_symmetry_Int_Tables_number 230
_symmetry_space_group_name_Hall '-I 4bd 2c 3'
_cell_length_a 18.526
_cell_length_b 18.526
_cell_length_c 18.526
_cell_angle_alpha 90.00
_cell_angle_beta 90.00
_cell_angle_gamma 90.00
loop_
_atom_site_label
_atom_site_type_symbol
_atom_site_fract_x
_atom_site_fract_y
_atom_site_fract_z
Ba1 Ba 0.035 0.056 0.653
Pb1 Pb 0.000 0.250 0.125
F1 F 0.000 0.000 0.000
F2 F 0.000 0.250 0.375

# Ba2PbF (PBE, optimized geometry)
# formation energy from raw total energies = -1.41 eV per atom
# ΔE to the lowest computed polymorph = 0.653 eV/f.u.
# E = -3.7710 eV/atom
# calculated volume = 125.0 Å³ per cell
data_Ba2PbF
_symmetry_space_group_name_H-M 'P 4/m m m'
_symmetry_Int_Tables_number 123
_symmetry_space_group_name_Hall '-P 4 2'
_cell_length_a 3.830
_cell_length_b 3.830
_cell_length_c 8.521
_cell_angle_alpha 90.00
_cell_angle_beta 90.00
_cell_angle_gamma 90.00
loop_
_atom_site_label
_atom_site_type_symbol
_atom_site_fract_x
_atom_site_fract_y
_atom_site_fract_z
Ba1 Ba 0.000 0.000 0.225
Pb1 Pb 0.500 0.500 0.500
F1 F 0.500 0.500 0.000